(1)
# Ho8Tm3In4 PBE optimized geometry
# Crystal system = monoclinic
# Energy relative to the elements = 0.086 eV per atom
data_Ho8Tm3In4
_chemical_formula_sum 'Ho16 Tm6 In8'
_cell_length_a 12.8389
_cell_length_b 12.6532
_cell_length_c 6.5310
_cell_angle_alpha 90.00
_cell_angle_beta 120.15
_cell_angle_gamma 90.00
_symmetry_space_group_name_H-M 'C 1 2/m 1'
_symmetry_Int_Tables_number 12
_symmetry_space_group_name_Hall '-C 2y'
loop_
_atom_site_label
_atom_site_fract_x
_atom_site_fract_y
_atom_site_fract_z
_atom_site_occupancy
Ho1 0.0000 0.1426 0.0000 1
Ho2 0.0000 0.2394 0.5000 1
Ho3 0.2305 0.0000 0.9804 1
Ho4 0.2395 0.0000 0.4922 1
Tm1 0.0000 0.5000 0.5000 1
Tm2 0.2500 0.2500 0.0000 1
In1 0.0000 0.0000 0.5000 1
In2 0.0000 0.5000 0.0000 1
In3 0.2500 0.2500 0.5000 1



(2)
# SmEr2Re PBE optimized geometry
# Crystal system = trigonal
# Energy relative to the elements = 0.779 eV per atom
data_SmEr2Re
_chemical_formula_sum 'Sm3 Er6 Re3'
_cell_length_a 3.2209
_cell_length_b 3.2209
_cell_length_c 33.9866
_cell_angle_alpha 90.00
_cell_angle_beta 90.00
_cell_angle_gamma 120.00
_symmetry_space_group_name_H-M 'R -3 m'
_symmetry_Int_Tables_number 166
_symmetry_space_group_name_Hall '-R 3 2"'
loop_
_atom_site_label
_atom_site_fract_x
_atom_site_fract_y
_atom_site_fract_z
_atom_site_occupancy
Sm1 0.0000 0.0000 0.0000 1
Er1 0.0000 0.0000 0.4214 1
Re1 0.0000 0.0000 0.5000 1



(3)
# TbGaRe PBE optimized geometry
# Crystal system = monoclinic
# Energy relative to the elements = -0.285 eV per atom
data_TbGaRe
_chemical_formula_sum 'Tb4 Ga4 Re4'
_cell_length_a 10.3593
_cell_length_b 4.3967
_cell_length_c 7.1921
_cell_angle_alpha 90.00
_cell_angle_beta 131.45
_cell_angle_gamma 90.00
_symmetry_space_group_name_H-M 'C 1 2/m 1'
_symmetry_Int_Tables_number 12
_symmetry_space_group_name_Hall '-C 2y'
loop_
_atom_site_label
_atom_site_fract_x
_atom_site_fract_y
_atom_site_fract_z
_atom_site_occupancy
Tb1 0.0622 0.0000 0.3092 1
Ga1 0.1733 0.5000 0.7405 1
Re1 0.1446 0.5000 0.0784 1



(4)
# GaRe2Br PBE optimized geometry
# Crystal system = tetragonal
# Energy above the most stable polymorph in this dataset = 0.731 eV/atom
data_GaRe2Br
_chemical_formula_sum 'Ga4 Re8 Br4'
_cell_length_a 5.9153
_cell_length_b 5.9153
_cell_length_c 9.8917
_cell_angle_alpha 90.00
_cell_angle_beta 90.00
_cell_angle_gamma 90.00
_symmetry_space_group_name_H-M 'I -4 2 d'
_symmetry_Int_Tables_number 122
_symmetry_space_group_name_Hall 'I -4 2bw'
loop_
_atom_site_label
_atom_site_fract_x
_atom_site_fract_y
_atom_site_fract_z
_atom_site_occupancy
Ga1 0.0000 0.0000 0.0000 1
Re1 0.2385 0.2500 0.6250 1
Br1 0.0000 0.0000 0.5000 1



(5)
# La4Pm2Dy2Y PBE optimized geometry
# Crystal system = monoclinic
# Energy relative to the elements = 0.027 eV per atom
data_La4Pm2Dy2Y
_chemical_formula_sum 'La8 Pm4 Dy4 Y2'
_cell_length_a 15.5820
_cell_length_b 5.2052
_cell_length_c 8.1384
_cell_angle_alpha 90.00
_cell_angle_beta 108.65
_cell_angle_gamma 90.00
_symmetry_space_group_name_H-M 'C 1 2/m 1'
_symmetry_Int_Tables_number 12
_symmetry_space_group_name_Hall '-C 2y'
loop_
_atom_site_label
_atom_site_fract_x
_atom_site_fract_y
_atom_site_fract_z
_atom_site_occupancy
La1 0.0544 0.0000 0.3303 1
La2 0.2237 0.5000 0.3315 1
Pm1 0.1122 0.5000 0.6702 1
Dy1 0.1674 0.0000 0.0000 1
Y1 0.0000 0.5000 0.0000 1



(6)
# ZnH6N2 PBE optimized geometry
# Crystal system = monoclinic
# VASP energy = -4.434 eV/atom
data_ZnH6N2
_chemical_formula_sum 'Zn4 H24 N8'
_cell_length_a 10.6465
_cell_length_b 8.4424
_cell_length_c 4.9767
_cell_angle_alpha 90.00
_cell_angle_beta 110.91
_cell_angle_gamma 90.00
_symmetry_space_group_name_H-M 'C 1 2/c 1'
_symmetry_Int_Tables_number 15
_symmetry_space_group_name_Hall '-C 2yc'
loop_
_atom_site_label
_atom_site_fract_x
_atom_site_fract_y
_atom_site_fract_z
_atom_site_occupancy
Zn1 0.0000 0.0055 0.2500 1
H1 0.0722 0.3378 0.0593 1
H2 0.1706 0.4583 0.3097 1
H3 0.2315 0.2950 0.2149 1
N1 0.1663 0.3872 0.1370 1



(7)
# Dy5Mg3 PBE optimized geometry
# Crystal system = tetragonal
# Energy relative to the elements = -0.047 eV per atom
data_Dy5Mg3
_chemical_formula_sum 'Dy5 Mg3'
_cell_length_a 3.7160
_cell_length_b 3.7160
_cell_length_c 16.4063
_cell_angle_alpha 90.00
_cell_angle_beta 90.00
_cell_angle_gamma 90.00
_symmetry_space_group_name_H-M 'P 4/m m m'
_symmetry_Int_Tables_number 123
_symmetry_space_group_name_Hall '-P 4 2'
loop_
_atom_site_label
_atom_site_fract_x
_atom_site_fract_y
_atom_site_fract_z
_atom_site_occupancy
Dy1 0.0000 0.0000 0.0000 1
Dy2 0.0000 0.0000 0.2372 1
Dy3 0.5000 0.5000 0.3803 1
Mg1 0.0000 0.0000 0.5000 1
Mg2 0.5000 0.5000 0.1178 1



(8)
# Mg2CrC2 PBE optimized geometry
# Crystal system = tetragonal
# Energy above the most stable polymorph in this dataset = 0.243 eV/atom
# Energy relative to the elements = 0.814 eV per atom
data_Mg2CrC2
_chemical_formula_sum 'Mg4 Cr2 C4'
_cell_length_a 3.6087
_cell_length_b 3.6087
_cell_length_c 9.1088
_cell_angle_alpha 90.00
_cell_angle_beta 90.00
_cell_angle_gamma 90.00
_symmetry_space_group_name_H-M 'I 4/m m m'
_symmetry_Int_Tables_number 139
_symmetry_space_group_name_Hall '-I 4 2'
loop_
_atom_site_label
_atom_site_fract_x
_atom_site_fract_y
_atom_site_fract_z
_atom_site_occupancy
Mg1 0.0000 0.5000 0.2500 1
Cr1 0.0000 0.0000 0.0000 1
C1 0.0000 0.0000 0.4228 1